(1)
{
  "formula": "In2SiTeMo",
  "functional": "SCAN",
  "state": "PBEsol geometry",
  "lattice_angstrom": [[5.339, 0.000, 0.000], [0.000, 5.339, 0.000], [0.000, 0.000, 4.614]],
  "species": ["In", "In", "Si", "Te", "Mo"],
  "fractional_positions": [[0.000, 0.500, 0.000], [0.500, 0.000, 0.000], [0.000, 0.000, 0.500], [0.500, 0.500, 0.500], [0.000, 0.000, 0.000]],
  "spacegroup": "No. 123",
  "raw_formation_energy_mev_per_atom": 618
}

---

(2)
{
  "formula": "SrInMo",
  "functional": "SCAN",
  "state": "PBEsol geometry",
  "lattice_angstrom": [[0.000, 3.485, 3.485], [3.485, 0.000, 3.485], [3.485, 3.485, 0.000]],
  "species": ["Sr", "In", "Mo"],
  "fractional_positions": [[0.000, 0.000, 0.000], [0.500, 0.500, 0.500], [0.750, 0.750, 0.750]],
  "spacegroup": "No. 216",
  "delta_e_f_ev_per_atom": 0.772,
  "polymorph_energy_mev_per_atom": 208
}

---

(3)
{
  "formula": "SrIn2Mo",
  "functional": "SCAN",
  "state": "PBEsol geometry",
  "lattice_angstrom": [[-1.868, 2.458, 5.069], [1.868, -2.458, 5.069], [1.868, 2.458, -5.069]],
  "species": ["Sr", "In", "In", "Mo"],
  "fractional_positions": [[0.000, 0.000, 0.000], [0.276, 0.776, 0.500], [0.540, 0.540, 0.000], [0.747, 0.247, 0.500]],
  "spacegroup": "No. 44",
  "delta_e_f_ev_per_atom": 0.471,
  "polymorph_energy_mev_per_atom": 248
}

---

(4)
{
  "formula": "Sr3InMo",
  "functional": "SCAN",
  "state": "PBEsol geometry",
  "lattice_angstrom": [[6.188, 0.000, 0.000], [0.000, 6.188, 0.000], [0.000, 0.000, 6.188]],
  "species": ["Sr", "Sr", "Sr", "In", "Mo"],
  "fractional_positions": [[0.000, 0.000, 0.500], [0.000, 0.500, 0.000], [0.500, 0.000, 0.000], [0.000, 0.000, 0.000], [0.500, 0.500, 0.500]],
  "spacegroup": "No. 221",
  "delta_e_f_ev_per_atom": 0.766
}

---

(5)
{
  "formula": "SrInMo",
  "functional": "SCAN",
  "state": "PBEsol geometry",
  "lattice_angstrom": [[0.000, 2.131, 7.383], [2.119, 0.000, 7.383], [2.119, 2.131, 0.000]],
  "species": ["Sr", "In", "Mo"],
  "fractional_positions": [[0.000, 0.000, 0.000], [0.687, 0.687, 0.313], [0.325, 0.325, 0.675]],
  "spacegroup": "No. 42",
  "delta_e_f_ev_per_atom": 0.564,
  "polymorph_energy_mev_per_atom": 0
}

---

(6)
{
  "formula": "SrIn2Mo",
  "functional": "SCAN",
  "state": "PBEsol geometry",
  "lattice_angstrom": [[0.000, 3.598, 3.598], [3.598, 0.000, 3.598], [3.598, 3.598, 0.000]],
  "species": ["Sr", "In", "In", "Mo"],
  "fractional_positions": [[0.000, 0.000, 0.000], [0.250, 0.250, 0.250], [0.750, 0.750, 0.750], [0.500, 0.500, 0.500]],
  "spacegroup": "No. 225",
  "delta_e_f_ev_per_atom": 0.223,
  "polymorph_energy_mev_per_atom": 0
}

---

(7)
{
  "formula": "TaInMo2",
  "functional": "SCAN",
  "state": "PBEsol geometry",
  "lattice_angstrom": [[2.792, 0.000, 0.000], [0.000, 4.537, 0.000], [-1.171, 0.000, 5.368]],
  "species": ["Ta", "In", "Mo", "Mo"],
  "fractional_positions": [[0.000, 0.000, 0.000], [0.692, 0.500, 0.264], [0.271, 0.500, 0.751], [0.485, 0.000, 0.533]],
  "spacegroup": "No. 6",
  "delta_e_f_ev_per_atom": 0.136
}

---

(8)
{
  "formula": "Ta2InMo",
  "functional": "SCAN",
  "state": "PBEsol geometry",
  "lattice_angstrom": [[1.549, 0.895, 8.843], [-1.549, 0.895, 8.843], [0.000, -1.789, 8.843]],
  "species": ["Ta", "Ta", "In", "Mo"],
  "fractional_positions": [[0.241, 0.241, 0.241], [0.759, 0.759, 0.759], [0.000, 0.000, 0.000], [0.500, 0.500, 0.500]],
  "spacegroup": "No. 166",
  "delta_e_f_ev_per_atom": 0.211
}

---

Which DOS at the Fermi energy belongs to each record? In order, 0.758, 0.361, 0.747, 0.750, 0.509, 0.432, 0.404, 0.582 states/eV/atom.